## a
# SrLa2Zr, optimized geometry, DFT GGA-PBEsol
data_SrLa2Zr
_symmetry_space_group_name_H-M 'P 4/m m m'
_symmetry_Int_Tables_number 123
_symmetry_space_group_name_Hall '-P 4 2'
_cell_length_a 5.1701
_cell_length_b 5.1701
_cell_length_c 4.7964
_cell_angle_alpha 90.00
_cell_angle_beta 90.00
_cell_angle_gamma 90.00
loop_
_atom_site_label
_atom_site_type_symbol
_atom_site_fract_x
_atom_site_fract_y
_atom_site_fract_z
_atom_site_occupancy
Sr1 Sr 0.0000 0.0000 0.0000 1
La1 La 0.0000 0.5000 0.5000 1
Zr1 Zr 0.5000 0.5000 0.0000 1
# Magnetic moment (Bohr magnetons per cell): 0.0
# Crystal system: tetragonal
# DOS(E_F) (states/eV per atom): 1.4914

## b
# SrLa2Zr, optimized geometry, DFT GGA-PBEsol
data_SrLa2Zr
_symmetry_space_group_name_H-M 'P 4/m m m'
_symmetry_Int_Tables_number 123
_symmetry_space_group_name_Hall '-P 4 2'
_cell_length_a 3.5367
_cell_length_b 3.5367
_cell_length_c 10.6523
_cell_angle_alpha 90.00
_cell_angle_beta 90.00
_cell_angle_gamma 90.00
loop_
_atom_site_label
_atom_site_type_symbol
_atom_site_fract_x
_atom_site_fract_y
_atom_site_fract_z
_atom_site_occupancy
Sr1 Sr 0.0000 0.0000 0.0000 1
La1 La 0.5000 0.5000 0.2901 1
Zr1 Zr 0.0000 0.0000 0.5000 1
# Magnetic moment (Bohr magnetons per cell): 0.0
# Crystal system: tetragonal
# DOS(E_F) (states/eV per atom): 1.2358

Taking the most stable structure as the zero point, the relative energies in meV/atom are a 174; b 0.